No. 1
Below is a relaxed structure of La2Er3Tm4, with properties calculated at the PBE level.

a = 10.042 Å, b = 8.481 Å, c = 6.878 Å
α = 80.94°, β = 56.51°, γ = 42.56°
Positions (direct):
La  0.115  0.115  0.885
La  0.885  0.885  0.115
Er  0.000  0.000  0.500
Er  0.500  0.500  0.000
Er  0.500  0.500  0.500
Tm  0.169  0.456  0.544
Tm  0.456  0.169  0.831
Tm  0.544  0.831  0.169
Tm  0.831  0.544  0.456

Calculated values
Polymorph energy (0 for the lowest one)   135 meV/atom
Formation enthalpy at 0 K   0.18 eV/atom

---

No. 2
Below is a relaxed structure of Nb3SnW, with properties calculated at the PBE level.

a = 4.888 Å, b = 4.888 Å, c = 4.888 Å
α = 90.00°, β = 90.00°, γ = 90.00°
Positions (direct):
Nb  0.000  0.000  0.500
Nb  0.000  0.500  0.000
Nb  0.500  0.000  0.000
Sn  0.500  0.500  0.500
W  0.000  0.000  0.000

Calculated values
Polymorph energy (0 for the lowest one)   0 meV/atom
Formation enthalpy at 0 K   1.11 eV/atom

---

No. 3
Below is a relaxed structure of TaZnP2Ru, with properties calculated at the PBE level.

a = 4.421 Å, b = 4.421 Å, c = 5.111 Å
α = 90.00°, β = 90.00°, γ = 90.00°
Positions (direct):
Ta  0.000  0.000  0.000
Zn  0.500  0.500  0.000
P  0.000  0.500  0.500
P  0.500  0.000  0.500
Ru  0.000  0.000  0.500

Calculated values
Formation enthalpy at 0 K   0.77 eV/atom

---

No. 4
Below is a relaxed structure of PaH6Pd3, with properties calculated at the PBE level.

a = 4.884 Å, b = 4.887 Å, c = 5.341 Å
α = 63.05°, β = 89.89°, γ = 60.03°
Positions (direct):
Pa  0.000  0.000  0.000
H  0.007  0.507  0.006
H  0.117  0.000  0.494
H  0.487  0.380  0.488
H  0.489  0.001  0.003
H  0.513  0.500  0.988
H  0.871  0.613  0.514
Pd  0.241  0.514  0.725
Pd  0.495  0.996  0.503
Pd  0.755  0.485  0.275

---

No. 5
Below is a relaxed structure of BaPdRh, with properties calculated at the PBE level.

a = 4.420 Å, b = 4.420 Å, c = 4.672 Å
α = 90.00°, β = 90.00°, γ = 120.00°
Positions (direct):
Ba  0.000  0.000  0.000
Pd  0.667  0.333  0.500
Rh  0.333  0.667  0.500

Calculated values
Formation enthalpy at 0 K   -0.12 eV/atom

---

No. 6
Below is a relaxed structure of Mg6SnPb2, with properties calculated at the PBE level.

a = 8.653 Å, b = 8.653 Å, c = 5.526 Å
α = 99.23°, β = 99.23°, γ = 142.02°
Positions (direct):
Mg  0.004  0.334  0.334
Mg  0.170  0.170  0.835
Mg  0.334  0.004  0.334
Mg  0.666  0.996  0.666
Mg  0.830  0.830  0.165
Mg  0.996  0.666  0.666
Sn  0.500  0.500  0.500
Pb  0.335  0.665  0.000
Pb  0.665  0.335  0.000

Calculated values
Polymorph energy (0 for the lowest one)   0 meV/atom
Formation enthalpy at 0 K   -0.05 eV/atom

---

No. 7
Below is a relaxed structure of CoSi3Mo, with properties calculated at the PBE level.

a = 4.301 Å, b = 4.301 Å, c = 4.301 Å
α = 90.00°, β = 90.00°, γ = 90.00°
Positions (direct):
Co  0.000  0.000  0.000
Si  0.000  0.000  0.500
Si  0.000  0.500  0.000
Si  0.500  0.000  0.000
Mo  0.500  0.500  0.500

Calculated values
Formation energy from raw total energies   3.68 eV/f.u.

---

No. 8
Below is a relaxed structure of PaTaTe4, with properties calculated at the PBE level.

a = 8.138 Å, b = 8.138 Å, c = 6.868 Å
α = 113.79°, β = 113.79°, γ = 28.21°
Positions (direct):
Pa  0.000  0.000  0.000
Ta  0.500  0.500  0.500
Te  0.125  0.125  0.768
Te  0.368  0.368  0.686
Te  0.632  0.632  0.314
Te  0.875  0.875  0.232

Calculated values
Polymorph energy (0 for the lowest one)   0 meV/atom
Formation energy from raw total energies   -3.05 eV/f.u.

---

No. 9
Below is a relaxed structure of CeYMg2, with properties calculated at the PBE level.

a = 5.395 Å, b = 5.395 Å, c = 5.395 Å
α = 60.00°, β = 60.00°, γ = 60.00°
Positions (direct):
Ce  0.000  0.000  0.000
Y  0.500  0.500  0.500
Mg  0.250  0.250  0.250
Mg  0.750  0.750  0.750

Calculated values
Polymorph energy (0 for the lowest one)   0 meV/atom
Formation enthalpy at 0 K   -0.02 eV/atom

---

No. 10
Below is a relaxed structure of Hg2Ir2Se, with properties calculated at the PBE level.

a = 6.682 Å, b = 6.682 Å, c = 4.271 Å
α = 90.00°, β = 90.00°, γ = 90.00°
Positions (direct):
Hg  0.162  0.338  0.000
Hg  0.338  0.838  0.000
Hg  0.662  0.162  0.000
Hg  0.838  0.662  0.000
Ir  0.144  0.644  0.500
Ir  0.356  0.144  0.500
Ir  0.644  0.856  0.500
Ir  0.856  0.356  0.500
Se  0.000  0.000  0.500
Se  0.500  0.500  0.500

Calculated values
Polymorph energy (0 for the lowest one)   0 meV/atom
Formation energy from raw total energies   2.36 eV/f.u.

---

No. 11
Below is a relaxed structure of K3NaGe, with properties calculated at the PBE level.

a = 6.621 Å, b = 6.621 Å, c = 6.621 Å
α = 90.00°, β = 90.00°, γ = 90.00°
Positions (direct):
K  0.000  0.000  0.500
K  0.000  0.500  0.000
K  0.500  0.000  0.000
Na  0.500  0.500  0.500
Ge  0.000  0.000  0.000

Calculated values
Polymorph energy (0 for the lowest one)   180 meV/atom
Formation enthalpy at 0 K   0.20 eV/atom

---

No. 12
Below is a relaxed structure of BH2F3, with properties calculated at the PBE level.

a = 5.102 Å, b = 5.245 Å, c = 5.332 Å
α = 89.91°, β = 80.99°, γ = 79.29°
Positions (direct):
B  0.199  0.211  0.215
B  0.801  0.789  0.785
H  0.039  0.735  0.717
H  0.490  0.824  0.163
H  0.510  0.176  0.837
H  0.961  0.265  0.283
F  0.270  0.246  0.938
F  0.279  0.905  0.233
F  0.373  0.311  0.338
F  0.627  0.689  0.662
F  0.721  0.095  0.767
F  0.730  0.754  0.062

---

No. 13
Below is a relaxed structure of VFe3Si, with properties calculated at the PBE level.

a = 4.182 Å, b = 4.182 Å, c = 4.182 Å
α = 90.00°, β = 90.00°, γ = 90.00°
Positions (direct):
V  0.000  0.000  0.000
Fe  0.000  0.500  0.500
Fe  0.500  0.000  0.500
Fe  0.500  0.500  0.000
Si  0.500  0.500  0.500

Calculated values
Polymorph energy (0 for the lowest one)   446 meV/atom
Formation energy from raw total energies   3.26 eV/f.u.

---

No. 14
Below is a relaxed structure of Hf6CoIr5, with properties calculated at the PBE level.

a = 4.593 Å, b = 6.612 Å, c = 7.071 Å
α = 90.00°, β = 104.15°, γ = 90.00°
Positions (direct):
Hf  0.000  0.246  0.000
Hf  0.000  0.754  0.000
Hf  0.337  0.248  0.671
Hf  0.337  0.752  0.671
Hf  0.663  0.248  0.329
Hf  0.663  0.752  0.329
Co  0.500  0.000  0.000
Ir  0.163  0.000  0.328
Ir  0.169  0.500  0.337
Ir  0.500  0.500  0.000
Ir  0.831  0.500  0.663
Ir  0.837  0.000  0.672

Calculated values
Formation enthalpy at 0 K   -0.83 eV/atom

---

No. 15
Below is a relaxed structure of PmPr4Hg, with properties calculated at the PBE level.

a = 8.479 Å, b = 8.479 Å, c = 6.601 Å
α = 100.24°, β = 100.24°, γ = 114.80°
Positions (direct):
Pm  0.092  0.908  0.750
Pm  0.908  0.092  0.250
Pr  0.103  0.332  0.875
Pr  0.212  0.588  0.451
Pr  0.332  0.103  0.375
Pr  0.412  0.788  0.049
Pr  0.588  0.212  0.951
Pr  0.668  0.897  0.625
Pr  0.788  0.412  0.549
Pr  0.897  0.668  0.125
Hg  0.498  0.502  0.750
Hg  0.502  0.498  0.250

Calculated values
Polymorph energy (0 for the lowest one)   88 meV/atom
Formation enthalpy at 0 K   -0.06 eV/atom

---

No. 16
Below is a relaxed structure of CrFePS2, with properties calculated at the PBE level.

a = 4.515 Å, b = 4.515 Å, c = 4.476 Å
α = 90.00°, β = 90.00°, γ = 90.00°
Positions (direct):
Cr  0.000  0.000  0.000
Fe  0.500  0.500  0.500
P  0.000  0.000  0.500
S  0.000  0.500  0.000
S  0.500  0.000  0.000

Calculated values
Polymorph energy (0 for the lowest one)   0 meV/atom
Formation energy from raw total energies   3.13 eV/f.u.

---

No. 17
Below is a relaxed structure of Ti6NbTc2, with properties calculated at the PBE level.

a = 7.001 Å, b = 7.001 Å, c = 7.666 Å
α = 103.75°, β = 103.75°, γ = 24.15°
Positions (direct):
Ti  0.008  0.008  0.344
Ti  0.326  0.326  0.758
Ti  0.331  0.331  0.123
Ti  0.669  0.669  0.877
Ti  0.674  0.674  0.242
Ti  0.992  0.992  0.656
Nb  0.000  0.000  0.000
Tc  0.333  0.333  0.445
Tc  0.667  0.667  0.555

Calculated values
Formation enthalpy at 0 K   -0.06 eV/atom

---

No. 18
Below is a relaxed structure of PuNb2H8, with properties calculated at the PBE level.

a = 4.355 Å, b = 4.355 Å, c = 5.363 Å
α = 90.00°, β = 90.00°, γ = 90.00°
Positions (direct):
Pu  0.000  0.000  0.000
Nb  0.000  0.500  0.500
Nb  0.500  0.000  0.500
H  0.268  0.268  0.277
H  0.268  0.268  0.723
H  0.268  0.732  0.277
H  0.268  0.732  0.723
H  0.732  0.268  0.277
H  0.732  0.268  0.723
H  0.732  0.732  0.277
H  0.732  0.732  0.723

---

No. 19
Below is a relaxed structure of Tb8CdPd2, with properties calculated at the PBE level.

a = 8.077 Å, b = 8.077 Å, c = 5.527 Å
α = 98.27°, β = 98.27°, γ = 115.26°
Positions (direct):
Tb  0.082  0.329  0.581
Tb  0.242  0.758  0.000
Tb  0.329  0.082  0.581
Tb  0.391  0.391  0.191
Tb  0.609  0.609  0.809
Tb  0.671  0.918  0.419
Tb  0.758  0.242  0.000
Tb  0.918  0.671  0.419
Cd  0.000  0.000  0.000
Pd  0.303  0.697  0.500
Pd  0.697  0.303  0.500

Calculated values
Formation enthalpy at 0 K   -0.27 eV/atom

---

No. 20
Below is a relaxed structure of Hf4N3, with properties calculated at the PBE level.

a = 10.719 Å, b = 10.719 Å, c = 10.719 Å
α = 17.15°, β = 17.15°, γ = 17.15°
Positions (direct):
Hf  0.000  0.000  0.000
Hf  0.166  0.166  0.166
Hf  0.417  0.417  0.417
Hf  0.585  0.585  0.585
N  0.291  0.291  0.291
N  0.790  0.790  0.790
N  0.877  0.877  0.877

Calculated values
Polymorph energy (0 for the lowest one)   0 meV/atom
Formation energy from raw total energies   -10.64 eV/f.u.

---

The total energy results, record by record, are as follows: -4.420 -8.326 -5.870 -4.694 -4.938 -2.383 -6.105 -6.161 -3.917 -3.890 -1.645 -4.899 -7.335 -10.092 -4.090 -5.723 -8.746 -5.747 -4.666 -10.776 eV/atom.
The size of the total moment results, record by record, are as follows: 0.0000 0.0000 0.0000 0.0628 0.2135 0.0000 0.5441 0.2031 0.2265 0.0000 0.3951 0.0000 0.5857 0.0776 0.0000 1.0343 0.0000 0.4609 0.0000 0.0045 μB per atom.